Material: Er2SnAu2
Method: DFT, meta-GGA SCAN
State: PBEsol geometry

```
data_Er2SnAu2
_cell_length_a 7.735
_cell_length_b 7.735
_cell_length_c 7.309
_cell_angle_alpha 90.00
_cell_angle_beta 90.00
_cell_angle_gamma 90.00
_space_group_name_H-M_alt 'P 1'
_space_group_IT_number 1
loop_
_space_group_symop_operation_xyz
'x,y,z'
loop_
_atom_site_label
_atom_site_fract_x
_atom_site_fract_y
_atom_site_fract_z
Er1 0.155 0.155 0.000
Er2 0.186 0.186 0.500
Er3 0.314 0.686 0.000
Er4 0.345 0.655 0.500
Er5 0.655 0.345 0.500
Er6 0.686 0.314 0.000
Er7 0.814 0.814 0.500
Er8 0.845 0.845 0.000
Sn1 0.000 0.500 0.250
Sn2 0.000 0.500 0.750
Sn3 0.500 0.000 0.250
Sn4 0.500 0.000 0.750
Au1 0.128 0.872 0.283
Au2 0.128 0.872 0.717
Au3 0.372 0.372 0.217
Au4 0.372 0.372 0.783
Au5 0.628 0.628 0.217
Au6 0.628 0.628 0.783
Au7 0.872 0.128 0.283
Au8 0.872 0.128 0.717
```

Summary:
Size of the total moment = 0.00 μB per formula unit
Calculated formation energy = -1074 meV/atom
Calculated volume = 109.3 Å³/f.u.